Here is a relaxed structure of TaZn2Re from Alexandria via LeMat-Bulk. Energies are from PBE.

Cell: 4.868 4.868 4.983 Å, 96.05 96.05 31.99°
Positions (direct):
Ta 0.000 0.000 0.000
Zn 0.250 0.250 0.721
Zn 0.497 0.497 0.500
Re 0.754 0.754 0.229

Symmetry: No. 8
Formation energy from the elements in eV/atom: 0.1313
Spin magnetization in μB per formula unit: 0.000